# Ac2FeBi (PBE-GGA, relaxed)
data_Ac2FeBi
_chemical_formula_sum 'Ac6 Fe3 Bi3'
_cell_length_a 3.6842
_cell_length_b 3.6842
_cell_length_c 33.8532
_cell_angle_alpha 90.00
_cell_angle_beta 90.00
_cell_angle_gamma 120.00
_symmetry_space_group_name_H-M 'R -3 m'
_symmetry_Int_Tables_number 166
_symmetry_space_group_name_Hall '-R 3 2"'
loop_
_atom_site_label
_atom_site_type_symbol
_atom_site_fract_x
_atom_site_fract_y
_atom_site_fract_z
Ac1 Ac 0.0000 0.0000 0.0794
Fe1 Fe 0.0000 0.0000 0.0000
Bi1 Bi 0.0000 0.0000 0.5000
# **Raw total energy**: -4.58 eV/atom
# **E_form**: 0.565 eV/atom
# **Magnetic moment**: 5.86 Bohr magnetons per cell
# **DOS at the Fermi energy**: 1.3785 states/eV/atom
# **E above lowest polymorph**: 629 meV/atom